Material: Tl2CdPd5Au2
Method: DFT, GGA-PBE
State: relaxed

Output
energy of formation = -0.10 eV/atom
symmetry = P4/mbm
magnetic moment = 0.000 μB/cell
E = -78.287 eV per cell

Unit cell a=9.8660 b=9.8660 c=3.9326 alpha=90.00 beta=90.00 gamma=90.00
Element x y z (fractional)
Tl1 0.1579 0.3421 0.0000
Tl2 0.3421 0.8421 0.0000
Tl3 0.6579 0.1579 0.0000
Tl4 0.8421 0.6579 0.0000
Cd1 0.0000 0.0000 0.0000
Cd2 0.5000 0.5000 0.0000
Pd1 0.0000 0.5000 0.5000
Pd2 0.0146 0.7956 0.5000
Pd3 0.2044 0.0146 0.5000
Pd4 0.2956 0.5146 0.5000
Pd5 0.4854 0.2956 0.5000
Pd6 0.5000 0.0000 0.5000
Pd7 0.5146 0.7044 0.5000
Pd8 0.7044 0.4854 0.5000
Pd9 0.7956 0.9854 0.5000
Pd10 0.9854 0.2044 0.5000
Au1 0.1454 0.6454 0.0000
Au2 0.3546 0.1454 0.0000
Au3 0.6454 0.8546 0.0000
Au4 0.8546 0.3546 0.0000